1.
Material: Cs2KO
Method: DFT, PBE-GGA
State: optimized geometry

Values from the calculation:
Uncorrected formation energy: -0.7314 eV per atom
Polymorph energy (0 for the lowest one): 0 meV/atom
Total DFT energy (no corrections): -2.67 eV per atom
Total moment: 0.00 μB/cell
DOS at the Fermi energy: 3.5 states/eV/cell
Volume: 202.8 Å³/f.u.

Unit cell a=4.333 b=5.512 c=16.979 alpha=90.00 beta=90.00 gamma=90.00
Space group Immm (No. 71)
Unique sites:
Cs 0.000 0.000 0.116
K 0.000 0.000 0.500
O 0.000 0.500 0.500


2.
Material: AcAlIn4Ag2
Method: DFT, PBE-GGA
State: optimized geometry

Values from the calculation:
Energy of formation: -122 meV per atom
Total DFT energy (no corrections): -3.19 eV per atom
Total moment: 0.00 μB/cell
DOS at the Fermi energy: 11.2 states/eV/cell
Volume: 205.3 Å³/f.u.

Unit cell a=4.8838 b=4.8838 c=29.8235 alpha=90.00 beta=90.00 gamma=120.00
Space group R-3m (No. 166, hexagonal axes)
Unique sites:
Ac 0.0000 0.0000 0.0000
Al 0.0000 0.0000 0.5000
In 0.0000 0.0000 0.1298
In 0.0000 0.0000 0.4034
Ag 0.0000 0.0000 0.2627


3.
Material: PaGaFe
Method: DFT, PBE-GGA
State: optimized geometry

Values from the calculation:
Energy of formation: -488 meV per atom
Total DFT energy (no corrections): -7.48 eV per atom
Total moment: 0.00 μB/cell
DOS at the Fermi energy: 8.5 states/eV/cell
Volume: 53.7 Å³/f.u.

Unit cell a=10.762 b=4.405 c=4.676 alpha=90.00 beta=104.46 gamma=90.00
Space group C2/m (No. 12)
Unique sites:
Pa 0.131 0.000 0.319
Ga 0.084 0.500 0.811
Fe 0.190 0.000 0.815